First-principles (PBE) data for crystalline Ga4HgBi at its relaxed geometry, as listed in Alexandria via LeMat-Bulk.

Unit cell a=5.781 b=5.781 c=5.781 alpha=60.00 beta=60.00 gamma=60.00
Sites, in units of the cell vectors:
Ga 0.625 0.125 0.625
Ga 0.625 0.625 0.125
Hg 0.250 0.250 0.250
Bi 0.000 0.000 0.000
Ga 0.125 0.625 0.625
Ga 0.625 0.625 0.625

Output
Its total DFT energy (no corrections) is -15.785 eV/cell. Its density is 8369 kg/m3. For the energy of formation, the calculation gives 0.08 eV/atom.